CePuSc2As4 after structural relaxation. Source: Alexandria via LeMat-Bulk, functional PBE.

abc: 4.048 6.954 7.003
angles: 70.31 90.00 90.00
Element x y z (fractional)
Sc  0.000  0.000  0.000
Ce  0.500  0.500  0.000
Sc  0.500  0.000  0.500
As  0.500  0.234  0.753
Pu  0.000  0.500  0.500
As  0.000  0.232  0.257
As  0.500  0.766  0.247
As  0.000  0.768  0.743

Results
**Fermi-level density of states**: 14.19 states/eV per cell
**Total magnetic moment**: 5.7 μB per formula unit
**V**: 185.64 Å³/cell
**Formation energy**: -124.6 kJ/mol of atoms

CePuAsSe after structural relaxation. Source: Alexandria via LeMat-Bulk, functional PBE.

abc: 4.203 4.203 7.214
angles: 73.06 73.06 60.00
Element x y z (fractional)
As  0.943  0.943  0.172
Pu  0.195  0.195  0.414
Se  0.446  0.446  0.661
Ce  0.692  0.692  0.924

Results
**Fermi-level density of states**: 11.58 states/eV per cell
**Total magnetic moment**: 6.4 μB per formula unit
**Formation energy (no corrections)**: -5.93 eV per formula unit
**V**: 103.92 Å³/cell

CeSmPu2As4 after structural relaxation. Source: Alexandria via LeMat-Bulk, functional PBE.

abc: 4.181 7.218 7.238
angles: 70.36 90.00 90.00
Element x y z (fractional)
As  0.000  0.244  0.255
Pu  0.000  0.000  0.000
Ce  0.000  0.500  0.500
As  0.500  0.247  0.750
As  0.500  0.753  0.250
Sm  0.500  0.500  0.000
As  0.000  0.756  0.745
Pu  0.500  0.000  0.500

Results
**Fermi-level density of states**: 30.52 states/eV per cell
**Total magnetic moment**: 0.3 μB per formula unit
**V**: 205.75 Å³/cell
**Formation energy**: -118.4 kJ/mol of atoms

Ce2SmPu3As6 after structural relaxation. Source: Alexandria via LeMat-Bulk, functional PBE.

abc: 4.188 8.340 9.332
angles: 102.57 102.97 90.00
Element x y z (fractional)
Ce  0.166  0.332  0.332
Pu  0.834  0.167  0.667
As  0.666  0.586  0.332
Sm  0.500  0.000  0.000
As  0.999  0.255  0.998
Pu  0.500  0.500  0.000
As  0.668  0.081  0.336
Ce  0.834  0.668  0.668
As  0.332  0.919  0.664
As  0.334  0.414  0.668
Pu  0.166  0.833  0.333
As  0.001  0.745  0.002

Results
**Fermi-level density of states**: 35.10 states/eV per cell
**Total magnetic moment**: 16.7 μB per formula unit
**V**: 309.61 Å³/cell
**Formation energy**: -120.4 kJ/mol of atoms